1.
# LiTm4ScS8

Crystalline LiTm4ScS8 at its relaxed geometry (PBE-GGA, Alexandria via LeMat-Bulk).

Properties
Formation energy (no corrections)   -1944 meV/atom

a = 7.7952 Å, b = 7.7952 Å, c = 7.7952 Å
α = 60.71°, β = 60.71°, γ = 60.71°
Positions (direct):
Li1 0.0000 0.0000 0.0000
Tm1 0.1119 0.6297 0.6297
Tm2 0.2483 0.2483 0.2483
Tm3 0.6297 0.1119 0.6297
Tm4 0.6297 0.6297 0.1119
Sc1 0.6318 0.6318 0.6318
S1 0.3831 0.3831 0.3831
S2 0.3889 0.3889 0.8463
S3 0.3889 0.8463 0.3889
S4 0.3974 0.8625 0.8625
S5 0.8463 0.3889 0.3889
S6 0.8625 0.3974 0.8625
S7 0.8625 0.8625 0.3974
S8 0.8694 0.8694 0.8694


2.
# LiIn2Ge2

Crystalline LiIn2Ge2 at its relaxed geometry (PBE-GGA, Alexandria via LeMat-Bulk).

Properties
ΔE_f   54 kJ/mol of formula units

a = 6.7675 Å, b = 6.7675 Å, c = 6.7675 Å
α = 139.71°, β = 139.71°, γ = 58.29°
Positions (direct):
Li1 0.0000 0.0000 0.0000
In1 0.3817 0.3817 0.0000
In2 0.6183 0.6183 0.0000
Ge1 0.2500 0.7500 0.5000
Ge2 0.7500 0.2500 0.5000


3.
# Al2Sb2P

Crystalline Al2Sb2P at its relaxed geometry (PBE-GGA, Alexandria via LeMat-Bulk).

Properties
Formation energy (no corrections)   581 meV/atom

a = 6.5076 Å, b = 6.5076 Å, c = 6.5076 Å
α = 138.17°, β = 138.17°, γ = 60.65°
Positions (direct):
Al1 0.1085 0.1085 0.0000
Al2 0.8915 0.8915 0.0000
Sb1 0.2500 0.7500 0.5000
Sb2 0.7500 0.2500 0.5000
P1 0.5000 0.5000 0.0000


4.
# TaZn2As

Crystalline TaZn2As at its relaxed geometry (PBE-GGA, Alexandria via LeMat-Bulk).

Properties
ΔE_f   -41 kJ/mol of formula units

a = 3.3972 Å, b = 3.3972 Å, c = 5.6369 Å
α = 90.00°, β = 90.00°, γ = 90.00°
Positions (direct):
Ta1 0.0000 0.0000 0.0000
Zn1 0.0000 0.0000 0.4991
Zn2 0.5000 0.5000 0.2866
As1 0.5000 0.5000 0.7891


5.
# LaMg2GaN

Crystalline LaMg2GaN at its relaxed geometry (PBE-GGA, Alexandria via LeMat-Bulk).

Properties
Energy above the lowest structure with this stoichiometry   94 meV per atom
Formation energy (no corrections)   -519 meV/atom

a = 4.3954 Å, b = 4.3954 Å, c = 5.0335 Å
α = 90.00°, β = 90.00°, γ = 90.00°
Positions (direct):
La1 0.0000 0.0000 0.0000
Mg1 0.0000 0.5000 0.5000
Mg2 0.5000 0.0000 0.5000
Ga1 0.5000 0.5000 0.0000
N1 0.0000 0.0000 0.5000


6.
# MgBi

Crystalline MgBi at its relaxed geometry (PBE-GGA, Alexandria via LeMat-Bulk).

Properties
ΔE_f   -18 kJ/mol of formula units

a = 4.8271 Å, b = 4.8271 Å, c = 4.8271 Å
α = 47.58°, β = 47.58°, γ = 47.58°
Positions (direct):
Mg1 0.0000 0.0000 0.0000
Bi1 0.5000 0.5000 0.5000


7.
# Pr2TmNb

Crystalline Pr2TmNb at its relaxed geometry (PBE-GGA, Alexandria via LeMat-Bulk).

Properties
ΔE_f   225 kJ/mol of formula units

a = 11.9534 Å, b = 11.9534 Å, c = 11.9534 Å
α = 16.19°, β = 16.19°, γ = 16.19°
Positions (direct):
Pr1 0.0829 0.0829 0.0829
Pr2 0.9171 0.9171 0.9171
Tm1 0.5000 0.5000 0.5000
Nb1 0.0000 0.0000 0.0000


8.
# SrLi4Br6

Crystalline SrLi4Br6 at its relaxed geometry (PBE-GGA, Alexandria via LeMat-Bulk).

Properties
Formation energy (no corrections)   -1672 meV/atom

a = 6.8544 Å, b = 6.8544 Å, c = 20.0135 Å
α = 90.00°, β = 90.00°, γ = 145.32°
Positions (direct):
Sr1 0.1610 0.8390 0.7500
Sr2 0.8390 0.1610 0.2500
Li1 0.0980 0.9020 0.1202
Li2 0.0980 0.9020 0.3798
Li3 0.3624 0.6376 0.0380
Li4 0.3624 0.6376 0.4620
Li5 0.6376 0.3624 0.5380
Li6 0.6376 0.3624 0.9620
Li7 0.9020 0.0980 0.6202
Li8 0.9020 0.0980 0.8798
Br1 0.0000 0.0000 0.0000
Br2 0.0000 0.0000 0.5000
Br3 0.1661 0.8339 0.2500
Br4 0.2758 0.7242 0.5833
Br5 0.2758 0.7242 0.9167
Br6 0.4499 0.5501 0.1570
Br7 0.4499 0.5501 0.3430
Br8 0.5501 0.4499 0.6570
Br9 0.5501 0.4499 0.8430
Br10 0.7242 0.2758 0.0833
Br11 0.7242 0.2758 0.4167
Br12 0.8339 0.1661 0.7500


9.
# Nd2InAgTe5

Crystalline Nd2InAgTe5 at its relaxed geometry (PBE-GGA, Alexandria via LeMat-Bulk).

Properties
Formation energy (no corrections)   -854 meV/atom

a = 9.9485 Å, b = 9.9485 Å, c = 13.0078 Å
α = 90.00°, β = 90.00°, γ = 154.56°
Positions (direct):
Nd1 0.1215 0.8785 0.5000
Nd2 0.1225 0.8775 0.8765
Nd3 0.8775 0.1225 0.3765
Nd4 0.8785 0.1215 0.0000
In1 0.4074 0.5926 0.6733
In2 0.5926 0.4074 0.1733
Ag1 0.2196 0.7804 0.2009
Ag2 0.7804 0.2196 0.7009
Te1 0.0356 0.9644 0.2818
Te2 0.2962 0.7038 0.8593
Te3 0.2974 0.7026 0.5259
Te4 0.3636 0.6364 0.1902
Te5 0.4891 0.5109 0.4827
Te6 0.5109 0.4891 0.9827
Te7 0.6364 0.3636 0.6902
Te8 0.7026 0.2974 0.0259
Te9 0.7038 0.2962 0.3593
Te10 0.9644 0.0356 0.7818


10.
# LiMg14BO15

Crystalline LiMg14BO15 at its relaxed geometry (PBE-GGA, Alexandria via LeMat-Bulk).

Properties
Energy above the lowest structure with this stoichiometry   0 meV per atom
Formation energy (no corrections)   -2437 meV/atom

a = 4.2843 Å, b = 8.3579 Å, c = 8.6078 Å
α = 90.00°, β = 90.00°, γ = 90.00°
Positions (direct):
Li1 0.0000 0.0000 0.0000
Mg1 0.0000 0.0000 0.4902
Mg2 0.0000 0.2438 0.2419
Mg3 0.0000 0.2627 0.7429
Mg4 0.0000 0.5000 0.4901
Mg5 0.0000 0.7373 0.7429
Mg6 0.0000 0.7562 0.2419
Mg7 0.5000 0.0000 0.2333
Mg8 0.5000 0.0000 0.7521
Mg9 0.5000 0.2492 0.4916
Mg10 0.5000 0.2595 0.9924
Mg11 0.5000 0.5000 0.2392
Mg12 0.5000 0.5000 0.7516
Mg13 0.5000 0.7405 0.9924
Mg14 0.5000 0.7508 0.4916
B1 0.0000 0.5000 0.0489
O1 0.0000 0.0000 0.2368
O2 0.0000 0.2508 0.4837
O3 0.0000 0.3297 0.9985
O4 0.0000 0.5000 0.2228
O5 0.0000 0.5000 0.7175
O6 0.0000 0.6703 0.9985
O7 0.0000 0.7492 0.4837
O8 0.5000 0.0000 0.4899
O9 0.5000 0.0000 0.9928
O10 0.5000 0.2497 0.2383
O11 0.5000 0.2530 0.7456
O12 0.5000 0.5000 0.0028
O13 0.5000 0.5000 0.4785
O14 0.5000 0.7470 0.7456
O15 0.5000 0.7503 0.2383


11.
# SrZnPS2

Crystalline SrZnPS2 at its relaxed geometry (PBE-GGA, Alexandria via LeMat-Bulk).

Properties
Energy above the lowest structure with this stoichiometry   0 meV per atom
Formation energy (no corrections)   -377 meV/atom

a = 4.9758 Å, b = 4.9758 Å, c = 4.4999 Å
α = 90.00°, β = 90.00°, γ = 90.00°
Positions (direct):
Sr1 0.0000 0.0000 0.0000
Zn1 0.5000 0.5000 0.5000
P1 0.5000 0.5000 0.0000
S1 0.0000 0.5000 0.5000
S2 0.5000 0.0000 0.5000


12.
# CeZn2Cd2

Crystalline CeZn2Cd2 at its relaxed geometry (PBE-GGA, Alexandria via LeMat-Bulk).

Properties
ΔE_f   -94 kJ/mol of formula units

a = 6.5341 Å, b = 6.5341 Å, c = 6.5341 Å
α = 140.96°, β = 140.96°, γ = 56.40°
Positions (direct):
Ce1 0.0000 0.0000 0.0000
Zn1 0.3948 0.3948 0.0000
Zn2 0.6052 0.6052 0.0000
Cd1 0.2500 0.7500 0.5000
Cd2 0.7500 0.2500 0.5000


13.
# LiNpCdF6

Crystalline LiNpCdF6 at its relaxed geometry (PBE-GGA, Alexandria via LeMat-Bulk).

Properties
Formation energy (no corrections)   -2852 meV/atom

a = 5.6591 Å, b = 5.6591 Å, c = 9.7392 Å
α = 90.00°, β = 90.00°, γ = 120.00°
Positions (direct):
Li1 0.3333 0.6667 0.2500
Li2 0.6667 0.3333 0.7500
Np1 0.3333 0.6667 0.7500
Np2 0.6667 0.3333 0.2500
Cd1 0.0000 0.0000 0.0000
Cd2 0.0000 0.0000 0.5000
F1 0.0250 0.3512 0.1320
F2 0.0250 0.6737 0.3680
F3 0.3263 0.3512 0.3680
F4 0.3263 0.9750 0.1320
F5 0.3512 0.0250 0.6320
F6 0.3512 0.3263 0.8680
F7 0.6488 0.6737 0.1320
F8 0.6488 0.9750 0.3680
F9 0.6737 0.0250 0.8680
F10 0.6737 0.6488 0.6320
F11 0.9750 0.3263 0.6320
F12 0.9750 0.6488 0.8680


14.
# K2Rb4Hg2Au

Crystalline K2Rb4Hg2Au at its relaxed geometry (PBE-GGA, Alexandria via LeMat-Bulk).

Properties
ΔE_f   -143 kJ/mol of formula units

a = 6.0902 Å, b = 8.8401 Å, c = 10.3908 Å
α = 69.27°, β = 73.01°, γ = 69.91°
Positions (direct):
K1 0.1387 0.4544 0.2681
K2 0.8613 0.5456 0.7319
Rb1 0.1412 0.8366 0.8808
Rb2 0.4005 0.8213 0.3782
Rb3 0.5995 0.1787 0.6218
Rb4 0.8588 0.1634 0.1192
Hg1 0.3580 0.3654 0.9193
Hg2 0.6420 0.6346 0.0807
Au1 0.5000 0.0000 0.0000


15.
# Ce2NpO5

Crystalline Ce2NpO5 at its relaxed geometry (PBE-GGA, Alexandria via LeMat-Bulk).

Properties
Formation energy (no corrections)   -3192 meV/atom

a = 6.3221 Å, b = 10.1142 Å, c = 3.5002 Å
α = 90.00°, β = 90.00°, γ = 90.00°
Positions (direct):
Ce1 0.0196 0.1714 0.0000
Ce2 0.4804 0.6714 0.0000
Ce3 0.5196 0.3286 0.0000
Ce4 0.9804 0.8286 0.0000
Np1 0.0000 0.5000 0.5000
Np2 0.5000 0.0000 0.5000
O1 0.0000 0.0000 0.5000
O2 0.1565 0.4013 0.0000
O3 0.1742 0.6988 0.5000
O4 0.3258 0.1988 0.5000
O5 0.3435 0.9013 0.0000
O6 0.5000 0.5000 0.5000
O7 0.6565 0.0987 0.0000
O8 0.6742 0.8012 0.5000
O9 0.8258 0.3012 0.5000
O10 0.8435 0.5987 0.0000


16.
# LiAlSiH2O5

Crystalline LiAlSiH2O5 at its relaxed geometry (PBE-GGA, Alexandria via LeMat-Bulk).

Properties
Energy above the lowest structure with this stoichiometry   0 meV per atom

a = 10.6214 Å, b = 8.1123 Å, c = 5.0724 Å
α = 90.00°, β = 90.00°, γ = 90.00°
Positions (direct):
Li1 0.1876 0.1628 0.0000
Li2 0.3124 0.6628 0.5000
Li3 0.6876 0.3372 0.0000
Li4 0.8124 0.8372 0.5000
Al1 0.1582 0.5719 0.9941
Al2 0.3418 0.0719 0.4941
Al3 0.6582 0.9281 0.9941
Al4 0.8418 0.4281 0.4941
Si1 0.1369 0.3614 0.4947
Si2 0.3631 0.8614 0.9947
Si3 0.6369 0.1386 0.4947
Si4 0.8631 0.6386 0.9947
H1 0.0175 0.0002 0.2003
H2 0.0514 0.8729 0.9842
H3 0.4486 0.3729 0.4842
H4 0.4825 0.5002 0.7003
H5 0.5175 0.4998 0.2003
H6 0.5514 0.6271 0.9842
H7 0.9486 0.1271 0.4842
H8 0.9825 0.9998 0.7003
O1 0.0133 0.6741 0.9405
O2 0.0529 0.9944 0.0196
O3 0.1641 0.3849 0.8119
O4 0.1789 0.5282 0.3328
O5 0.2188 0.2033 0.3873
O6 0.2812 0.7033 0.8873
O7 0.3211 0.0282 0.8328
O8 0.3359 0.8849 0.3119
O9 0.4471 0.4944 0.5196
O10 0.4867 0.1741 0.4405
O11 0.5133 0.8259 0.9405
O12 0.5529 0.5056 0.0196
O13 0.6641 0.1151 0.8119
O14 0.6789 0.9718 0.3328
O15 0.7188 0.2967 0.3873
O16 0.7812 0.7967 0.8873
O17 0.8211 0.4718 0.8328
O18 0.8359 0.6151 0.3119
O19 0.9471 0.0056 0.5196
O20 0.9867 0.3259 0.4405


17.
# CrSi2Ag

Crystalline CrSi2Ag at its relaxed geometry (PBE-GGA, Alexandria via LeMat-Bulk).

Properties
Energy above the lowest structure with this stoichiometry   16 meV per atom
Formation energy (no corrections)   164 meV/atom

a = 2.9842 Å, b = 2.9842 Å, c = 6.3845 Å
α = 90.00°, β = 90.00°, γ = 90.00°
Positions (direct):
Cr1 0.0000 0.0000 0.0000
Si1 0.5000 0.5000 0.1994
Si2 0.5000 0.5000 0.8006
Ag1 0.0000 0.0000 0.5000


18.
# Zn2HO

Crystalline Zn2HO at its relaxed geometry (PBE-GGA, Alexandria via LeMat-Bulk).

Properties
Energy above the lowest structure with this stoichiometry   0 meV per atom

a = 6.1133 Å, b = 6.1133 Å, c = 6.1133 Å
α = 140.70°, β = 140.70°, γ = 56.80°
Positions (direct):
Zn1 0.0928 0.6250 0.9678
Zn2 0.3750 0.3428 0.4678
Zn3 0.6572 0.1250 0.0322
Zn4 0.8750 0.9072 0.5322
H1 0.0000 0.0000 0.0000
H2 0.7500 0.2500 0.5000
O1 0.2500 0.7500 0.5000
O2 0.5000 0.5000 0.0000


19.
# Pr7Y12Er

Crystalline Pr7Y12Er at its relaxed geometry (PBE-GGA, Alexandria via LeMat-Bulk).

Properties
Energy above the lowest structure with this stoichiometry   398 meV per atom
ΔE_f   1204 kJ/mol of formula units

a = 9.8567 Å, b = 9.8567 Å, c = 9.8567 Å
α = 109.47°, β = 109.47°, γ = 109.47°
Positions (direct):
Pr1 0.0000 0.0000 0.5000
Pr2 0.0000 0.5000 0.0000
Pr3 0.0000 0.5000 0.5000
Pr4 0.5000 0.0000 0.0000
Pr5 0.5000 0.0000 0.5000
Pr6 0.5000 0.5000 0.0000
Pr7 0.5000 0.5000 0.5000
Y1 0.0000 0.2462 0.7538
Y2 0.0000 0.7538 0.2462
Y3 0.2462 0.0000 0.7538
Y4 0.2462 0.2462 0.4923
Y5 0.2462 0.4923 0.2462
Y6 0.2462 0.7538 0.0000
Y7 0.4923 0.2462 0.2462
Y8 0.5077 0.7538 0.7538
Y9 0.7538 0.0000 0.2462
Y10 0.7538 0.2462 0.0000
Y11 0.7538 0.5077 0.7538
Y12 0.7538 0.7538 0.5077
Er1 0.0000 0.0000 0.0000


20.
# Tl5Cl2OF

Crystalline Tl5Cl2OF at its relaxed geometry (PBE-GGA, Alexandria via LeMat-Bulk).

Properties
Formation energy (no corrections)   -981 meV/atom

a = 9.1649 Å, b = 9.1649 Å, c = 14.0936 Å
α = 90.00°, β = 90.00°, γ = 154.00°
Positions (direct):
Tl1 0.0041 0.9959 0.5000
Tl2 0.1483 0.8517 0.2708
Tl3 0.1953 0.8047 0.8835
Tl4 0.2184 0.7816 0.6260
Tl5 0.4333 0.5667 0.2621
Tl6 0.5667 0.4333 0.7621
Tl7 0.7816 0.2184 0.1260
Tl8 0.8047 0.1953 0.3835
Tl9 0.8517 0.1483 0.7708
Tl10 0.9959 0.0041 0.0000
Cl1 0.3539 0.6461 0.9486
Cl2 0.4059 0.5941 0.5962
Cl3 0.5941 0.4059 0.0962
Cl4 0.6461 0.3539 0.4486
O1 0.2875 0.7125 0.2650
O2 0.7125 0.2875 0.7650
F1 0.0742 0.9258 0.6555
F2 0.9258 0.0742 0.1555


no.,magnetization (Bohr magnetons per cell),raw total energy (eV per atom)
1,0.000,-6.169
2,0.000,-3.214
3,0.000,-3.647
4,0.000,-4.869
5,0.006,-4.413
6,0.000,-2.833
7,0.001,-5.442
8,0.000,-3.433
9,0.000,-4.280
10,0.000,-5.833
11,0.001,-3.701
12,1.088,-2.257
13,7.785,-5.852
14,0.000,-1.270
15,10.013,-9.392
16,0.000,-6.535
17,0.823,-5.666
18,0.000,-3.097
19,0.000,-5.156
20,0.000,-3.465